Below is a geometry-optimized CsDyGe2Cl8 structure, with properties calculated at the PBE level.

Values from the calculation:
DOS(E_F): 0.00 states/eV per atom
VASP energy: -3.944 eV/atom
SG: P-1, No. 2

Unit cell a=7.1293 b=6.3313 c=9.8118 alpha=94.13 beta=86.89 gamma=82.61
With the nearest neighbours (Å) after each atom.
Element x y z (fractional)
Cl: 0.8836 0.2927 0.2090  1 Ge 2.60, 1 Dy 2.68
Cl: 0.6973 0.7936 0.0452  1 Ge 2.45, 1 Dy 2.70
Cl: 0.3937 0.2672 0.5993  1 Ge 2.28
Cl: 0.1923 0.7848 0.1749  1 Dy 2.61
Cl: 0.8077 0.2152 0.8251  1 Dy 2.61
Cl: 0.6063 0.7328 0.4007  1 Ge 2.28
Cl: 0.1164 0.7073 0.7910  1 Ge 2.60, 1 Dy 2.68
Cl: 0.3027 0.2064 0.9548  1 Ge 2.45, 1 Dy 2.70
Cs: 0.0000 0.0000 0.5000  6 Cl 3.51-3.60
Ge: 0.5702 0.5496 0.1975  2 Cl 2.28-2.45
Ge: 0.4298 0.4504 0.8025  2 Cl 2.28-2.45
Dy: 0.0000 0.0000 0.0000  6 Cl 2.61-2.70